# 1
VASP calculation (PBE) on PuHfRu2 after structural relaxation.

```
4
Lattice="-1.775 2.715 0.172 -2.720 -1.766 -0.188 -0.135 -0.524 6.874" Properties=species:S:1:pos:R:3 pbc="T T T"
Hf -2.247 0.474 -0.008
Pu -2.315 0.212 3.429
Ru -0.104 -0.403 5.285
Ru -0.031 -0.121 1.589
```

Values from the calculation:
Total energy, eV/atom: -11.122
V, Å³/atom: 18.19
Energy of formation from the pure elements, eV per formula unit: -1.7
N(E_F), states/eV/f.u.: 7.00

=====

# 2
VASP calculation (PBE) on PuHf4Ru5 after structural relaxation.

```
10
Lattice="-2.296 2.151 0.790 -2.006 -1.347 -2.165 -5.692 -10.386 11.734" Properties=species:S:1:pos:R:3 pbc="T T T"
Ru -6.098 -6.800 7.449
Hf -4.520 -8.247 9.318
Hf -2.288 -4.176 4.718
Ru -2.800 -0.782 0.650
Hf -3.403 -6.210 7.016
Pu 0.000 0.000 0.000
Ru -4.997 -4.791 5.180
Hf -1.172 -2.139 2.416
Ru -3.896 -2.782 2.910
Ru -7.194 -8.800 9.709
```

Values from the calculation:
Total energy, eV/atom: -10.709
V, Å³/atom: 17.54
Energy of formation from the pure elements, eV per formula unit: -6.6
N(E_F), states/eV/f.u.: 8.39

=====

# 3
VASP calculation (PBE) on PuHfZnRu after structural relaxation.

```
4
Lattice="4.770 0.000 0.000 2.385 4.131 0.000 2.385 1.377 3.894" Properties=species:S:1:pos:R:3 pbc="T T T"
Pu 0.000 0.000 0.000
Zn 2.385 1.377 0.974
Hf 4.770 2.754 1.947
Ru 7.155 4.131 2.921
```

Values from the calculation:
Total energy, eV/atom: -8.857
V, Å³/atom: 19.18
Energy of formation from the pure elements, eV per formula unit: -0.6
N(E_F), states/eV/f.u.: 7.37